Material: KIn2Co
Method: DFT, PBE-GGA
State: optimized geometry

Structure (POSCAR):
```
KIn2Co
1.0
3.154 -1.637 3.635
-1.513 -3.613 3.240
1.999 -4.666 -0.281
In K Co
2 1 1
Cartesian
2.730 -7.437 4.946 In
0.910 -2.479 1.649 In
0.000 0.000 0.000 K
1.820 -4.958 3.297 Co
```

Values from the calculation:
Spin magnetization   1.3 μB/f.u.
Relative energy among the computed polymorphs   0.3787 eV per atom
Formation energy   0.52 eV per atom
Density   5.9 Mg/m³
D(E_F)   6.2 states/eV/cell